Record 1
## InAsBr2 (GGA-PBEsol)

Data for an optimized crystal structure of InAsBr2.

a = 3.7054 Å, b = 3.7054 Å, c = 8.9747 Å
α = 78.09°, β = 78.09°, γ = 60.00°
Last column: nearest neighbours and their distance in Å.
Fractional coordinates of all 4 atoms:
As (0.2427, 0.2427, 0.2719)  3 In 2.82, 3 Br 2.90
Br (0.9845, 0.9845, 0.0466)  3 As 2.90
Br (0.7669, 0.7669, 0.6993)  3 In 2.86
In (0.5059, 0.5059, 0.4822)  3 As 2.82, 3 Br 2.86

Calculated values
Symmetry   R3m
Magnetic moment   0.0004 μB per atom
E_form (uncorrected)   -0.0781 eV per atom

=====

Record 2
## ScTlHg2 (GGA-PBEsol)

Data for an optimized crystal structure of ScTlHg2.

a = 4.4262 Å, b = 4.4262 Å, c = 5.4576 Å
α = 113.92°, β = 113.92°, γ = 90.00°
Last column: nearest neighbours and their distance in Å.
Fractional coordinates of all 4 atoms:
Sc (0.5000, 0.5000, 0.0000)  4 Tl 3.13, 8 Hg 3.15
Tl (0.0000, 0.0000, 0.0000)  4 Sc 3.13, 8 Hg 3.15
Hg (0.7500, 0.2500, 0.5000)  4 Hg 3.13, 4 Sc 3.15, 4 Tl 3.15
Hg (0.2500, 0.7500, 0.5000)  4 Hg 3.13, 4 Tl 3.15, 4 Sc 3.15

Calculated values
Formation enthalpy at 0 K   -241 meV/atom
Symmetry   I4/mmm
Magnetic moment   0.0001 μB per atom

=====

Record 3
## BeAl2Tl (GGA-PBEsol)

Data for an optimized crystal structure of BeAl2Tl.

a = 2.9559 Å, b = 3.7488 Å, c = 6.5926 Å
α = 90.00°, β = 102.81°, γ = 90.00°
Last column: nearest neighbours and their distance in Å.
Fractional coordinates of all 4 atoms:
Be (0.1506, 0.0000, 0.4232)  5 Al 2.42-2.54
Tl (0.3024, 0.5000, 0.7401)  2 Be 2.77, 2 Tl 2.96, 2 Al 3.08
Al (0.9630, 0.0000, 0.0463)  1 Be 2.42
Al (0.5841, 0.5000, 0.2904)  4 Be 2.53-2.54

Calculated values
Formation enthalpy at 0 K   349 meV/atom
Symmetry   Pm
Magnetic moment   0.0000 μB per atom

=====

Record 4
## CaBi2S (GGA-PBEsol)

Data for an optimized crystal structure of CaBi2S.

a = 4.2764 Å, b = 4.2764 Å, c = 12.9798 Å
α = 99.48°, β = 99.48°, γ = 90.00°
Last column: nearest neighbours and their distance in Å.
Fractional coordinates of all 8 atoms:
S (0.7500, 0.2500, 0.5000)  4 Ca 3.02
S (0.5000, 0.5000, 0.0000)  4 Ca 3.02
Ca (0.2500, 0.7500, 0.5000)  4 S 3.02
Ca (0.0000, 0.0000, 0.0000)  4 S 3.02
Bi (0.8792, 0.3750, 0.2500)  4 Bi 3.00-3.05
Bi (0.3708, 0.8750, 0.2500)  4 Bi 3.00-3.05
Bi (0.6250, 0.6292, 0.7500)  4 Bi 3.00-3.05
Bi (0.1250, 0.1208, 0.7500)  4 Bi 3.00-3.05

Calculated values
Symmetry   I-42d
Magnetic moment   0.0001 μB per atom
E_form (uncorrected)   -0.5782 eV per atom